1.
TaCu2F: optimized geometry, PBE.

It has space group Fm-3m (No. 225), with a = 6.061 Å, b = 6.061 Å, c = 6.061 Å, α = 90.00°, β = 90.00° and γ = 90.00°. The asymmetric unit holds Ta at (0.000, 0.000, 0.000), Cu at (0.250, 0.250, 0.250) and F at (0.000, 0.000, 0.500).

Its total energy is -82.47 eV/cell. The calculation puts the uncorrected formation energy at 0.325 eV/atom. As for the energy above the most stable polymorph in this dataset: 396 meV per atom. The value obtained for the magnetization is 0.0 μB per formula unit.

2.
TmTl3Cl6: optimized geometry, PBE.

It has space group P2_1/c (No. 14), with a = 7.451 Å, b = 8.191 Å, c = 12.896 Å, α = 90.00°, β = 122.68° and γ = 90.00°. The asymmetric unit holds Tm at (0.000, 0.000, 0.000), Tl at (0.289, 0.067, 0.764), Tl at (0.500, 0.000, 0.500), Cl at (0.102, 0.061, 0.225), Cl at (0.235, 0.735, 0.076) and Cl at (0.332, 0.166, 0.041).

Its total energy is -76.48 eV/cell. The calculation puts the uncorrected formation energy at -1.559 eV/atom. The value obtained for the magnetization is 0.0 μB per formula unit.

3.
Rb3Th3ZrSe8: optimized geometry, PBE.

It has space group R-3m (No. 166, hexagonal axes), with a = 8.3246 Å, b = 8.3246 Å, c = 25.0643 Å, α = 90.00°, β = 90.00° and γ = 120.00°. The asymmetric unit holds Rb at (0.0000, 0.5000, 0.0000), Th at (0.0000, 0.5000, 0.5000), Zr at (0.0000, 0.0000, 0.5000), Se at (0.0000, 0.0000, 0.2369) and Se at (0.0151, 0.5075, 0.2317).

Its total energy is -252.96 eV/cell. The calculation puts the uncorrected formation energy at -1.515 eV/atom. The value obtained for the magnetization is 0.7 μB per formula unit.

4.
Ag2GeO: optimized geometry, PBE.

It has space group Fm-3m (No. 225), with a = 6.275 Å, b = 6.275 Å, c = 6.275 Å, α = 90.00°, β = 90.00° and γ = 90.00°. The asymmetric unit holds Ag at (0.250, 0.250, 0.250), Ge at (0.000, 0.000, 0.000) and O at (0.000, 0.000, 0.500).

Its total energy is -57.39 eV/cell. The calculation puts the uncorrected formation energy at 0.233 eV/atom. As for the energy above the most stable polymorph in this dataset: 112 meV per atom. The value obtained for the magnetization is 0.0 μB per formula unit.

5.
K2SiNiBr: optimized geometry, PBE.

It has space group P4/mmm (No. 123), with a = 6.167 Å, b = 6.167 Å, c = 4.298 Å, α = 90.00°, β = 90.00° and γ = 90.00°. The asymmetric unit holds K at (0.000, 0.500, 0.000), Si at (0.000, 0.000, 0.500), Ni at (0.000, 0.000, 0.000) and Br at (0.500, 0.500, 0.500).

Its total energy is -16.62 eV/cell. The calculation puts the uncorrected formation energy at -0.310 eV/atom. The value obtained for the magnetization is 0.0 μB per formula unit.

6.
Ac8P3IrS4: optimized geometry, PBE.

It has space group R-3m (No. 166, hexagonal axes), with a = 8.7680 Å, b = 8.7680 Å, c = 21.4558 Å, α = 90.00°, β = 90.00° and γ = 120.00°. The asymmetric unit holds Ac at (0.0000, 0.0000, 0.2482), Ac at (0.0042, 0.5021, 0.2469), P at (0.0000, 0.5000, 0.5000), Ir at (0.0000, 0.0000, 0.5000), S at (0.0000, 0.0000, 0.0000) and S at (0.0000, 0.5000, 0.0000).

Its total energy is -302.74 eV/cell. The calculation puts the uncorrected formation energy at -1.653 eV/atom. The value obtained for the magnetization is 0.0 μB per formula unit.